# Li4Ni8O9F7 GGA+U optimized geometry
# SG = P1
# E = -0.3422 Ry per atom
# ρ = 4.4 Mg/m³
data_Li4Ni8O9F7
_chemical_formula_sum 'Li4 Ni8 O9 F7'
_space_group_name_H-M_alt 'P 1'
_space_group_IT_number 1
_cell_length_a 5.979
_cell_length_b 5.938
_cell_length_c 10.526
_cell_angle_alpha 107.86
_cell_angle_beta 72.18
_cell_angle_gamma 123.37
loop_
_space_group_symop_operation_xyz
'x,y,z'
loop_
_atom_site_label
_atom_site_type_symbol
_atom_site_fract_x
_atom_site_fract_y
_atom_site_fract_z
Li1 Li 0.819 0.717 0.054
Li2 Li 0.698 0.793 0.450
Li3 Li 0.294 0.206 0.551
Li4 Li 0.200 0.292 0.950
Ni1 Ni 0.244 0.751 0.244
Ni2 Ni 0.250 0.243 0.247
Ni3 Ni 0.999 0.499 0.499
Ni4 Ni 0.492 0.001 0.003
Ni5 Ni 0.248 0.749 0.750
Ni6 Ni 0.750 0.249 0.249
Ni7 Ni 0.747 0.749 0.751
Ni8 Ni 0.749 0.249 0.750
O1 O 0.145 0.907 0.133
O2 O 0.118 0.373 0.156
O3 O 0.594 0.903 0.136
O4 O 0.612 0.883 0.654
O5 O 0.907 0.595 0.363
O6 O 0.092 0.404 0.635
O7 O 0.383 0.123 0.343
O8 O 0.405 0.095 0.864
O9 O 0.885 0.616 0.846
F1 F 0.118 0.877 0.620
F2 F 0.636 0.387 0.125
F3 F 0.371 0.599 0.373
F4 F 0.623 0.380 0.620
F5 F 0.376 0.620 0.878
F6 F 0.873 0.120 0.378
F7 F 0.872 0.119 0.879